(1)
First-principles (GGA-PBE) data for Ac2SnTe after structural relaxation, as listed in the Alexandria database.

Summary:
E_tot in eV/atom: -4.882
Formation energy (no corrections) in eV/atom: -1.041

Unit cell a=4.7260 b=4.7260 c=8.1646 alpha=90.00 beta=90.00 gamma=120.00
With the nearest neighbours (Å) after each atom.
Space group P-3m1 (No. 164)
Asymmetric unit:
Ac 0.3333 0.6667 0.2676 x2  3 Sn 3.32, 3 Te 3.50
Sn 0.0000 0.0000 0.5000 x1  6 Ac 3.32
Te 0.0000 0.0000 0.0000 x1  6 Ac 3.50


(2)
First-principles (GGA-PBE) data for Ac2SnTe after structural relaxation, as listed in the Alexandria database.

Summary:
E_tot in eV/atom: -4.788
Formation energy (no corrections) in eV/atom: -0.948

Unit cell a=8.2164 b=8.2164 c=8.2164 alpha=90.00 beta=90.00 gamma=90.00
With the nearest neighbours (Å) after each atom.
Space group Fm-3m (No. 225)
Asymmetric unit:
Ac 0.2500 0.2500 0.2500 x8  4 Sn 3.56, 4 Te 3.56
Sn 0.0000 0.0000 0.0000 x4  8 Ac 3.56
Te 0.0000 0.0000 0.5000 x4  8 Ac 3.56


(3)
First-principles (GGA-PBE) data for AcSnTe2 after structural relaxation, as listed in the Alexandria database.

Summary:
E_tot in eV/atom: -4.476
Formation energy (no corrections) in eV/atom: -0.877

Unit cell a=5.4796 b=5.4796 c=4.2088 alpha=90.00 beta=90.00 gamma=90.00
With the nearest neighbours (Å) after each atom.
Space group P4/mmm (No. 123)
Asymmetric unit:
Ac 0.0000 0.0000 0.0000 x1  8 Te 3.45
Sn 0.5000 0.5000 0.0000 x1  8 Te 3.45
Te 0.0000 0.5000 0.5000 x2  4 Sn 3.45, 4 Ac 3.45


(4)
First-principles (GGA-PBE) data for Ac4Sn2Te after structural relaxation, as listed in the Alexandria database.

Summary:
E_tot in eV/atom: -4.813
Formation energy (no corrections) in eV/atom: -0.873

Unit cell a=10.1304 b=10.1304 c=10.1445 alpha=90.00 beta=90.00 gamma=90.00
With the nearest neighbours (Å) after each atom.
Space group I-42d (No. 122)
Asymmetric unit:
Ac 0.0731 0.6809 0.4416 x16  4 Sn 3.33-3.67, 2 Te 3.37-3.70
Sn 0.1280 0.7500 0.1250 x8  8 Ac 3.33-3.67
Te 0.0000 0.0000 0.5000 x4  8 Ac 3.37-3.70